# 1
# RbNbIn2Br8

A relaxed RbNbIn2Br8 crystal (PBE-GGA, Alexandria).

Mass density: 3.776 g/cm³
Symmetry: P-1 (2)

Cell: 6.780 7.747 9.447 Å, 89.98 89.95 68.16°
Positions (direct):
1 Rb 0.000 0.000 0.000
2 Nb 0.000 0.000 0.500
3 In 0.001 0.500 0.240
4 In 0.999 0.500 0.760
5 Br 0.228 0.199 0.500
6 Br 0.237 0.782 0.309
7 Br 0.237 0.782 0.691
8 Br 0.273 0.297 0.000
9 Br 0.727 0.703 0.000
10 Br 0.763 0.218 0.309
11 Br 0.763 0.218 0.691
12 Br 0.772 0.801 0.500

=====

# 2
# NbInSeBr2

A relaxed NbInSeBr2 crystal (PBE-GGA, Alexandria).

Energy above the most stable polymorph in this dataset: 0.972 eV/atom
Mass density: 4.900 g/cm³
Symmetry: P4/mmm (123)

Cell: 5.288 5.288 5.412 Å, 90.00 90.00 90.00°
Positions (direct):
1 Nb 0.000 0.000 0.000
2 In 0.500 0.500 0.500
3 Se 0.500 0.500 0.000
4 Br 0.000 0.500 0.500
5 Br 0.500 0.000 0.500

=====

| no. | total magnetization (μB per atom) | final energy (eV per cell) |
| --- | --- | --- |
| 1 | 0.01 | -41.2 |
| 2 | 0.71 | -17.0 |